No. 1
# BeTeH2N

Crystalline BeTeH2N at its relaxed geometry (PBE-GGA, Alexandria).

Results
Fermi-level density of states in states/eV per cell: 1.12
Polymorph energy (0 for the lowest one) in meV per atom: 404
Space group: No. 123

Cell: 3.3379 3.3379 5.2648 Å, 90.00 90.00 90.00°
Last column: nearest neighbours and their distance in Å.
Fractional positions:
Be1 0.0000 0.0000 0.0000  4 Te 2.36
Te1 0.5000 0.5000 0.0000  4 Be 2.36, 2 N 2.63
H1 0.0000 0.5000 0.5000  2 N 1.67
H2 0.5000 0.0000 0.5000  2 N 1.67
N1 0.5000 0.5000 0.5000  4 H 1.67

***

No. 2
# BeNiW

Crystalline BeNiW at its relaxed geometry (PBE-GGA, Alexandria).

Results
DFT formation energy in eV/f.u.: 6.805
Fermi-level density of states in states/eV per cell: 12.36
Polymorph energy (0 for the lowest one) in meV per atom: 2510
Space group: No. 194

Cell: 3.8618 3.8618 9.2972 Å, 90.00 90.00 120.00°
Last column: nearest neighbours and their distance in Å.
Fractional positions:
Be1 0.3333 0.6667 0.2500  3 W 2.23
Be2 0.6667 0.3333 0.7500  3 W 2.23
Ni1 0.0000 0.0000 0.0000  2 W 2.32
Ni2 0.0000 0.0000 0.5000  2 W 2.32
W1 0.0000 0.0000 0.2500  3 Be 2.23, 2 Ni 2.32
W2 0.0000 0.0000 0.7500  3 Be 2.23, 2 Ni 2.32

***

No. 3
# Hf2ZrOs

Crystalline Hf2ZrOs at its relaxed geometry (PBE-GGA, Alexandria).

Results
DFT formation energy in eV/f.u.: -0.693
Fermi-level density of states in states/eV per cell: 25.26
Polymorph energy (0 for the lowest one) in meV per atom: 155
Space group: No. 225

Cell: 6.7359 6.7359 6.7359 Å, 90.00 90.00 90.00°
Last column: nearest neighbours and their distance in Å.
Fractional positions:
Hf1 0.2500 0.2500 0.2500  4 Zr 2.92, 4 Os 2.92
Hf2 0.2500 0.2500 0.7500  4 Zr 2.92, 4 Os 2.92
Hf3 0.2500 0.7500 0.2500  4 Zr 2.92, 4 Os 2.92
Hf4 0.2500 0.7500 0.7500  4 Zr 2.92, 4 Os 2.92
Hf5 0.7500 0.2500 0.2500  4 Zr 2.92, 4 Os 2.92
Hf6 0.7500 0.2500 0.7500  4 Zr 2.92, 4 Os 2.92
Hf7 0.7500 0.7500 0.2500  4 Zr 2.92, 4 Os 2.92
Hf8 0.7500 0.7500 0.7500  4 Zr 2.92, 4 Os 2.92
Zr1 0.0000 0.0000 0.0000  8 Hf 2.92
Zr2 0.0000 0.5000 0.5000  8 Hf 2.92
Zr3 0.5000 0.0000 0.5000  8 Hf 2.92
Zr4 0.5000 0.5000 0.0000  8 Hf 2.92
Os1 0.0000 0.0000 0.5000  8 Hf 2.92
Os2 0.0000 0.5000 0.0000  8 Hf 2.92
Os3 0.5000 0.0000 0.0000  8 Hf 2.92
Os4 0.5000 0.5000 0.5000  8 Hf 2.92

***

No. 4
# LiZnNi2N

Crystalline LiZnNi2N at its relaxed geometry (PBE-GGA, Alexandria).

Results
Formation energy without anion corrections in eV per atom: -0.193
Fermi-level density of states in states/eV per cell: 3.79
Space group: No. 123

Cell: 3.7401 3.7401 3.8410 Å, 90.00 90.00 90.00°
Last column: nearest neighbours and their distance in Å.
Fractional positions:
Li1 0.0000 0.0000 0.0000  2 N 1.92
Zn1 0.5000 0.5000 0.0000  4 Li 2.64, 8 Ni 2.68
Ni1 0.0000 0.5000 0.5000  2 N 1.87
Ni2 0.5000 0.0000 0.5000  2 N 1.87
N1 0.0000 0.0000 0.5000  4 Ni 1.87, 2 Li 1.92

***

No. 5
# KLiHg

Crystalline KLiHg at its relaxed geometry (PBE-GGA, Alexandria).

Results
DFT formation energy in eV/f.u.: -0.400
Fermi-level density of states in states/eV per cell: 0.98
Polymorph energy (0 for the lowest one) in meV per atom: 62
Space group: No. 156

Cell: 4.8777 4.8777 4.8902 Å, 90.00 90.00 120.00°
Last column: nearest neighbours and their distance in Å.
Fractional positions:
K1 0.0000 0.0000 0.0000  6 Li 3.73, 6 Hg 3.73
Li1 0.3333 0.6667 0.4990  3 Hg 2.82
Hg1 0.6667 0.3333 0.5004  3 Li 2.82

***

No. 6
# CsRb2AsO4

Crystalline CsRb2AsO4 at its relaxed geometry (PBE-GGA, Alexandria).

Results
Formation energy without anion corrections in eV per atom: -1.260
Space group: No. 74

Cell: 7.6793 7.6793 7.6793 Å, 113.91 107.33 107.27°
Last column: nearest neighbours and their distance in Å.
Fractional positions:
Cs1 0.0000 0.0000 0.0000  8 O 3.13-3.20
Cs2 0.5000 0.0000 0.5000  8 O 3.13-3.20
Rb1 0.0000 0.5000 0.5000  8 O 3.07-3.13
Rb2 0.5000 0.0000 0.0000  4 O 2.75-2.76
Rb3 0.5000 0.5000 0.0000  8 O 3.07-3.13
Rb4 0.5000 0.5000 0.5000  4 O 2.75-2.76
As1 0.0000 0.0000 0.5000  4 O 1.80
As2 0.0000 0.5000 0.0000  4 O 1.80
O1 0.1974 0.0000 0.6974  1 As 1.80
O2 0.1969 0.2085 0.5116  1 As 1.80
O3 0.1974 0.5000 0.1974  1 As 1.80
O4 0.1969 0.6854 0.9884  1 As 1.80
O5 0.8026 0.0000 0.3026  1 As 1.80
O6 0.8031 0.3146 0.0116  1 As 1.80
O7 0.8026 0.5000 0.8026  1 As 1.80
O8 0.8031 0.7915 0.4884  1 As 1.80

***

No. 7
# Pm3Nd6ErTm2

Crystalline Pm3Nd6ErTm2 at its relaxed geometry (PBE-GGA, Alexandria).

Results
DFT formation energy in eV/f.u.: 0.190
Fermi-level density of states in states/eV per cell: 14.73
Space group: No. 12

Cell: 6.2988 6.2988 11.9363 Å, 95.03 95.03 120.01°
Last column: nearest neighbours and their distance in Å.
Fractional positions:
Pm1 0.0000 0.0000 0.0000  6 Pm 3.64, 6 Nd 3.65
Pm2 0.3333 0.6667 0.0000  6 Pm 3.64, 6 Nd 3.65-3.66
Pm3 0.6667 0.3333 0.0000  6 Pm 3.64, 6 Nd 3.65-3.66
Nd1 0.0842 0.4177 0.2545  2 Tm 3.57, 1 Er 3.57, 6 Nd 3.64, 3 Pm 3.65-3.66
Nd2 0.2489 0.2489 0.7455  1 Er 3.57, 2 Tm 3.57, 6 Nd 3.64, 3 Pm 3.65
Nd3 0.4177 0.0842 0.2545  2 Tm 3.57, 1 Er 3.57, 6 Nd 3.64, 3 Pm 3.65-3.66
Nd4 0.5823 0.9158 0.7455  2 Tm 3.57, 1 Er 3.57, 6 Nd 3.64, 3 Pm 3.65-3.66
Nd5 0.7511 0.7511 0.2545  1 Er 3.57, 2 Tm 3.57, 6 Nd 3.64, 3 Pm 3.65
Nd6 0.9158 0.5823 0.7455  2 Tm 3.57, 1 Er 3.57, 6 Nd 3.64, 3 Pm 3.65-3.66
Er1 0.5000 0.5000 0.5000  6 Nd 3.57, 6 Tm 3.64
Tm1 0.1667 0.8333 0.5000  6 Nd 3.57, 3 Er 3.64, 3 Tm 3.64
Tm2 0.8333 0.1667 0.5000  6 Nd 3.57, 3 Er 3.64, 3 Tm 3.64

***

No. 8
# Mo2OsWSe

Crystalline Mo2OsWSe at its relaxed geometry (PBE-GGA, Alexandria).

Results
Formation energy without anion corrections in eV per atom: 1.793
Fermi-level density of states in states/eV per cell: 6.08
Space group: No. 123

Cell: 4.7811 4.7811 4.7873 Å, 90.00 90.00 90.00°
Last column: nearest neighbours and their distance in Å.
Fractional positions:
Mo1 0.0000 0.5000 0.0000  2 Os 2.39
Mo2 0.5000 0.0000 0.0000  2 Os 2.39
Os1 0.0000 0.0000 0.0000  4 Mo 2.39, 2 W 2.39
W1 0.0000 0.0000 0.5000  2 Os 2.39
Se1 0.5000 0.5000 0.5000  4 W 3.38, 8 Mo 3.38

***

No. 9
# BRuI2O

Crystalline BRuI2O at its relaxed geometry (PBE-GGA, Alexandria).

Results
Formation energy without anion corrections in eV per atom: 0.519
Fermi-level density of states in states/eV per cell: 3.13
Polymorph energy (0 for the lowest one) in meV per atom: 0
Space group: No. 123

Cell: 5.2401 5.2401 3.0135 Å, 90.00 90.00 90.00°
Last column: nearest neighbours and their distance in Å.
Fractional positions:
B1 0.0000 0.0000 0.0000  2 O 1.51
Ru1 0.5000 0.5000 0.5000  2 Ru 3.01, 8 I 3.02
I1 0.0000 0.5000 0.0000  2 B 2.62
I2 0.5000 0.0000 0.0000  2 B 2.62
O1 0.0000 0.0000 0.5000  2 B 1.51

***

No. 10
# PaIn2GaO8

Crystalline PaIn2GaO8 at its relaxed geometry (PBE-GGA, Alexandria).

Results
Formation energy without anion corrections in eV per atom: -1.849
Fermi-level density of states in states/eV per cell: 8.39
Space group: No. 10

Cell: 4.9351 6.6363 4.9351 Å, 90.00 90.12 90.00°
Last column: nearest neighbours and their distance in Å.
Fractional positions:
Pa1 0.0000 0.0000 0.0000  6 O 2.13-2.20
In1 0.5000 0.2576 0.5000  6 O 2.17-2.19
In2 0.5000 0.7424 0.5000  6 O 2.17-2.19
Ga1 0.0000 0.5000 0.0000  6 O 2.00-2.03
O1 0.1890 0.2668 0.1873  1 Ga 2.03, 1 In 2.17, 1 Pa 2.20
O2 0.1890 0.7332 0.1873  1 Ga 2.03, 1 In 2.17, 1 Pa 2.20
O3 0.2859 0.5000 0.7123  1 Ga 2.00, 2 In 2.19
O4 0.3037 0.0000 0.6945  1 Pa 2.13, 2 In 2.19
O5 0.6963 0.0000 0.3055  1 Pa 2.13, 2 In 2.19
O6 0.7141 0.5000 0.2877  1 Ga 2.00, 2 In 2.19
O7 0.8110 0.2668 0.8127  1 Ga 2.03, 1 In 2.17, 1 Pa 2.20
O8 0.8110 0.7332 0.8127  1 Ga 2.03, 1 In 2.17, 1 Pa 2.20

***

No. 11
# VNiRh2

Crystalline VNiRh2 at its relaxed geometry (PBE-GGA, Alexandria).

Results
DFT formation energy in eV/f.u.: -0.586
Fermi-level density of states in states/eV per cell: 17.30
Space group: No. 160

Cell: 2.7053 2.7053 25.2935 Å, 90.00 90.00 120.00°
Last column: nearest neighbours and their distance in Å.
Fractional positions:
V1 0.0000 0.0000 0.0000  6 Rh 2.60-2.61, 6 V 2.71
V2 0.3333 0.6667 0.6667  6 Rh 2.60-2.61, 6 V 2.71
V3 0.6667 0.3333 0.3333  6 Rh 2.60-2.61, 6 V 2.71
Ni1 0.0000 0.0000 0.8345  6 Rh 2.63-2.66, 6 Ni 2.71
Ni2 0.3333 0.6667 0.5011  6 Rh 2.63-2.66, 6 Ni 2.71
Ni3 0.6667 0.3333 0.1678  6 Rh 2.63-2.66, 6 Ni 2.71
Rh1 0.0000 0.0000 0.4158  3 V 2.61, 3 Ni 2.66, 6 Rh 2.71
Rh2 0.0000 0.0000 0.5846  3 V 2.60, 3 Ni 2.63, 6 Rh 2.71
Rh3 0.3333 0.6667 0.0825  3 V 2.61, 3 Ni 2.66, 6 Rh 2.71
Rh4 0.3333 0.6667 0.2513  3 V 2.60, 3 Ni 2.63, 6 Rh 2.71
Rh5 0.6667 0.3333 0.7492  3 V 2.61, 3 Ni 2.66, 6 Rh 2.71
Rh6 0.6667 0.3333 0.9180  3 V 2.60, 3 Ni 2.63, 6 Rh 2.71

***

No. 12
# TlAg2Br2Cl

Crystalline TlAg2Br2Cl at its relaxed geometry (PBE-GGA, Alexandria).

Results
Formation energy without anion corrections in eV per atom: -0.516
Fermi-level density of states in states/eV per cell: 0.00
Space group: No. 11

Cell: 8.1424 5.8122 8.6646 Å, 90.00 102.34 90.00°
Last column: nearest neighbours and their distance in Å.
Fractional positions:
Tl1 0.2005 0.2500 0.3913  6 Br 3.33-3.59
Tl2 0.7995 0.7500 0.6087  6 Br 3.33-3.59
Ag1 0.3375 0.0009 0.8226  2 Cl 2.67-2.75, 2 Br 2.69-2.72, 2 Ag 2.90-2.92
Ag2 0.3375 0.4991 0.8226  2 Cl 2.67-2.75, 2 Br 2.69-2.72, 2 Ag 2.90-2.92
Ag3 0.6625 0.5009 0.1774  2 Cl 2.67-2.75, 2 Br 2.69-2.72, 2 Ag 2.90-2.92
Ag4 0.6625 0.9991 0.1774  2 Cl 2.67-2.75, 2 Br 2.69-2.72, 2 Ag 2.90-2.92
Br1 0.0553 0.2500 0.7251  2 Ag 2.69
Br2 0.3839 0.7500 0.5700  2 Ag 2.72
Br3 0.6161 0.2500 0.4300  2 Ag 2.72
Br4 0.9447 0.7500 0.2749  2 Ag 2.69
Cl1 0.3711 0.7500 0.0857  4 Ag 2.67-2.75
Cl2 0.6289 0.2500 0.9143  4 Ag 2.67-2.75